A plane-wave DFT calculation with PBE with a Hubbard U was carried out for NiBi2IrO6 after structural relaxation.

* electronic total energy: -118.10 eV for the cell shown
* total magnetic moment: 1.02 μB per formula unit
* DOS(E_F): 0.42 states/eV per atom

Cell: 5.5570 5.7840 9.5166 Å, 90.00 124.17 90.00°
Space group P2_1/c (No. 14)
Unique sites:
Ni 0.0000 0.0000 0.0000 x2
Bi 0.2417 0.0655 0.7338 x4
Ir 0.5000 0.0000 0.5000 x2
O 0.1505 0.0377 0.2552 x4
O 0.2054 0.6786 0.0264 x4
O 0.3640 0.2182 0.0642 x4